Compound: Y6ErCd2
Source: the Alexandria database
Functional: PBE
Structure: optimized geometry

Properties
DOS(E_F) ... 1.150 states/eV per atom
Raw total energy ... -5.158 eV/atom
E_form ... -1.24 eV per formula unit

Cell lengths 3.7397, 6.6050, 11.7080 Å; angles 75.50, 80.81, 73.56 degrees
Positions (direct):
Y: 0.0172 0.3024 0.6631
Y: 0.6871 0.2112 0.4147
Y: 0.6849 0.5077 0.1225
Y: 0.9828 0.6976 0.3369
Y: 0.3151 0.4923 0.8775
Cd: 0.3544 0.0870 0.2043
Cd: 0.6456 0.9130 0.7957
Er: 0.0000 0.0000 0.0000
Y: 0.3129 0.7888 0.5853

---

Compound: Y6Er8Cd
Source: the Alexandria database
Functional: PBE
Structure: optimized geometry

Properties
DOS(E_F) ... 1.357 states/eV per atom
Raw total energy ... -4.854 eV/atom
E_form ... 3.39 eV per formula unit

Cell lengths 6.6723, 9.1510, 9.1510 Å; angles 120.00, 90.00, 90.00 degrees
Positions (direct):
Er: 0.8901 0.6863 0.6736
Er: 0.1099 0.0127 0.6863
Er: 0.1099 0.3137 0.3264
Er: 0.8901 0.3264 0.0127
Er: 0.1099 0.6736 0.9873
Cd: 0.5000 0.0000 0.0000
Er: 0.1712 0.6667 0.3333
Y: 0.3959 0.5958 0.6820
Y: 0.6041 0.4042 0.3180
Y: 0.6041 0.6820 0.0862
Y: 0.3959 0.0862 0.4042
Er: 0.8901 0.9873 0.3137
Y: 0.3959 0.3180 0.9138
Y: 0.6041 0.9138 0.5958
Er: 0.8288 0.3333 0.6667

---

Compound: YErCd2
Source: the Alexandria database
Functional: PBE
Structure: optimized geometry

Properties
DOS(E_F) ... 0.837 states/eV per atom
E above lowest polymorph ... 0.0000 eV per atom
Raw total energy ... -3.552 eV/atom
E_form ... -1.35 eV per formula unit

Cell lengths 5.2769, 5.2769, 5.2769 Å; angles 60.00, 60.00, 60.00 degrees
Positions (direct):
Cd: 0.7500 0.7500 0.7500
Er: 0.5000 0.5000 0.5000
Y: 0.0000 0.0000 0.0000
Cd: 0.2500 0.2500 0.2500

---

Compound: Y3ErCd2
Source: the Alexandria database
Functional: PBE
Structure: optimized geometry

Properties
DOS(E_F) ... 0.702 states/eV per atom
E above lowest polymorph ... 0.0000 eV per atom
Raw total energy ... -4.533 eV/atom
E_form ... -1.41 eV per formula unit

Cell lengths 5.2300, 6.8792, 9.4212 Å; angles 90.00, 90.00, 90.00 degrees
Positions (direct):
Er: 0.5000 0.5188 0.5454
Cd: 0.0000 0.2760 0.6499
Cd: 0.5000 0.2244 0.1498
Y: 0.0000 0.4815 0.9553
Y: 0.0000 0.3196 0.3249
Er: 0.5000 0.0188 0.4546
Y: 0.0000 0.8196 0.6751
Y: 0.5000 0.1797 0.8208
Cd: 0.5000 0.7244 0.8502
Y: 0.0000 0.9815 0.0447
Y: 0.5000 0.6797 0.1792
Cd: 0.0000 0.7760 0.3501

---

Compound: Y3Er2Cd2
Source: the Alexandria database
Functional: PBE
Structure: optimized geometry

Properties
DOS(E_F) ... 1.152 states/eV per atom
E above lowest polymorph ... 0.0000 eV per atom
Raw total energy ... -4.487 eV/atom
E_form ... -1.06 eV per formula unit

Cell lengths 5.3687, 5.3738, 8.5136 Å; angles 108.36, 90.00, 119.97 degrees
Positions (direct):
Cd: 0.7882 0.5764 0.8645
Cd: 0.2118 0.4236 0.1355
Y: 0.3433 0.6865 0.5294
Y: 0.6567 0.3135 0.4706
Er: 0.0743 0.1486 0.7230
Er: 0.9257 0.8514 0.2770
Y: 0.5000 0.0000 0.0000

---

Compound: Y3ErCd
Source: the Alexandria database
Functional: PBE
Structure: optimized geometry

Properties
DOS(E_F) ... 1.317 states/eV per atom
E above lowest polymorph ... 0.0000 eV per atom
Raw total energy ... -5.114 eV/atom
E_form ... -0.70 eV per formula unit

Cell lengths 3.6532, 5.4875, 14.9481 Å; angles 89.08, 97.02, 90.00 degrees
Positions (direct):
Er: 0.7334 0.7514 0.4668
Er: 0.2666 0.2486 0.5332
Y: 0.0508 0.2708 0.1016
Cd: 0.4609 0.2259 0.9218
Cd: 0.5391 0.7741 0.0782
Y: 0.6613 0.2574 0.3227
Y: 0.1292 0.7609 0.2583
Y: 0.8708 0.2391 0.7417
Y: 0.3387 0.7426 0.6773
Y: 0.9492 0.7292 0.8984

---

Compound: YEr7Cd4
Source: the Alexandria database
Functional: PBE
Structure: optimized geometry

Properties
DOS(E_F) ... 1.138 states/eV per atom
Raw total energy ... -3.481 eV/atom
E_form ... 0.30 eV per formula unit

Cell lengths 5.6562, 8.9536, 7.8192 Å; angles 70.26, 68.80, 71.59 degrees
Positions (direct):
Cd: 0.5431 0.2860 0.6278
Er: 0.7383 0.3068 0.2167
Er: 0.5000 0.0000 0.0000
Cd: 0.4569 0.7140 0.3722
Er: 0.0720 0.5851 0.2709
Er: 0.9280 0.4149 0.7291
Cd: 0.3191 0.3408 0.0209
Er: 0.2617 0.6932 0.7833
Er: 0.7923 0.8809 0.5345
Er: 0.2077 0.1191 0.4655
Y: 0.0000 0.0000 0.0000
Cd: 0.6809 0.6592 0.9791

---

Compound: Y2Er5Cd
Source: the Alexandria database
Functional: PBE
Structure: optimized geometry

Properties
DOS(E_F) ... 1.212 states/eV per atom
Raw total energy ... -4.595 eV/atom
E_form ... -0.11 eV per formula unit

Cell lengths 6.9337, 6.9339, 6.9623 Å; angles 119.86, 119.85, 90.02 degrees
Positions (direct):
Er: 0.2222 0.2222 0.9443
Cd: 0.2224 0.2224 0.4447
Er: 0.2221 0.7225 0.9445
Er: 0.7221 0.2219 0.9441
Y: 0.2219 0.7220 0.4441
Er: 0.7220 0.7220 0.9441
Er: 0.7220 0.7220 0.4440
Y: 0.7223 0.2221 0.4442

---

Compound: YErCd4
Source: the Alexandria database
Functional: PBE
Structure: optimized geometry

Properties
DOS(E_F) ... 0.937 states/eV per atom
E above lowest polymorph ... 0.0674 eV per atom
Raw total energy ... -2.700 eV/atom
E_form ... -1.51 eV per formula unit

Cell lengths 5.8965, 5.8965, 5.8965 Å; angles 60.00, 60.00, 60.00 degrees
Positions (direct):
Cd: 0.6250 0.6250 0.6250
Cd: 0.6250 0.1250 0.6250
Cd: 0.1250 0.6250 0.6250
Er: 0.2500 0.2500 0.2500
Cd: 0.6250 0.6250 0.1250
Y: 0.0000 0.0000 0.0000

---

Compound: YEr3Cd2
Source: the Alexandria database
Functional: PBE
Structure: optimized geometry

Properties
DOS(E_F) ... 1.191 states/eV per atom
E above lowest polymorph ... 0.0243 eV per atom
Raw total energy ... -3.859 eV/atom
E_form ... -1.17 eV per formula unit

Cell lengths 3.6066, 3.6066, 12.8250 Å; angles 90.00, 90.00, 90.00 degrees
Positions (direct):
Cd: 0.5000 0.5000 0.1513
Cd: 0.5000 0.5000 0.8487
Er: 0.0000 0.0000 0.3066
Y: 0.5000 0.5000 0.5000
Er: 0.0000 0.0000 0.0000
Er: 0.0000 0.0000 0.6934

---

Compound: Y5ErCd3
Source: the Alexandria database
Functional: PBE
Structure: optimized geometry

Properties
DOS(E_F) ... 0.495 states/eV per atom
Raw total energy ... -4.616 eV/atom
E_form ... -1.91 eV per formula unit

Cell lengths 6.9315, 9.1925, 9.1924 Å; angles 120.00, 90.00, 90.00 degrees
Positions (direct):
Y: 0.7500 0.3315 0.0000
Y: 0.5000 0.6667 0.3333
Y: 0.7500 0.6685 0.6685
Cd: 0.2500 0.0000 0.3343
Er: 0.5000 0.0000 0.0000
Y: 0.2500 0.0000 0.6685
Cd: 0.7500 0.0000 0.6657
Cd: 0.7500 0.6657 0.0000
Cd: 0.2500 0.6657 0.6657
Y: 0.0000 0.6667 0.3333
Y: 0.7500 0.0000 0.3315
Y: 0.5000 0.3333 0.6667
Cd: 0.7500 0.3343 0.3343
Cd: 0.2500 0.3343 0.0000
Er: 0.0000 0.0000 0.0000
Y: 0.2500 0.3315 0.3315
Y: 0.2500 0.6685 0.0000
Y: 0.0000 0.3333 0.6667

---

Compound: Y3Er12Cd
Source: the Alexandria database
Functional: PBE
Structure: optimized geometry

Properties
DOS(E_F) ... 1.250 states/eV per atom
Raw total energy ... -4.691 eV/atom
E_form ... 0.01 eV per formula unit

Cell lengths 4.9264, 4.9264, 19.9144 Å; angles 90.00, 90.00, 90.00 degrees
Positions (direct):
Y: 0.0000 0.0000 0.5000
Er: 0.5000 0.5000 0.2441
Er: 0.5000 0.0000 0.3733
Er: 0.0000 0.5000 0.1209
Er: 0.0000 0.5000 0.6267
Er: 0.5000 0.5000 0.7559
Er: 0.5000 0.0000 0.8791
Er: 0.0000 0.5000 0.8791
Er: 0.5000 0.5000 0.5000
Er: 0.5000 0.0000 0.6267
Er: 0.0000 0.5000 0.3733
Y: 0.0000 0.0000 0.2478
Y: 0.0000 0.0000 0.7522
Er: 0.5000 0.5000 0.0000
Cd: 0.0000 0.0000 0.0000
Er: 0.5000 0.0000 0.1209

---

- Look up the DOS(E_F) of the seventh one.
  1.138 states/eV per atom